Density functional theory data (PBE-GGA) for a relaxed BaNaIn2P3O12 crystal.

Calculated values
Raw total energy, eV/atom: -6.69
Space-group type: No. 198
Formation energy without anion corrections, eV per atom: -2.243

Cell: 10.2888 10.2888 10.2888 Å, 90.00 90.00 90.00°
Last column: nearest neighbours and their distance in Å.
Sites, in units of the cell vectors:
Ba: 0.1922 0.3078 0.6922  9 O 2.85-3.01
Ba: 0.3078 0.6922 0.1922  9 O 2.85-3.01
Ba: 0.6922 0.1922 0.3078  9 O 2.85-3.01
Ba: 0.8078 0.8078 0.8078  9 O 2.85-3.01
Na: 0.0798 0.0798 0.0798  3 O 2.47
Na: 0.4202 0.9202 0.5798  3 O 2.47
Na: 0.5798 0.4202 0.9202  3 O 2.47
Na: 0.9202 0.5798 0.4202  3 O 2.47
In: 0.0899 0.9101 0.4101  6 O 2.17-2.19
In: 0.1699 0.6699 0.8301  6 O 2.14-2.18
In: 0.3301 0.3301 0.3301  6 O 2.14-2.18
In: 0.4101 0.0899 0.9101  6 O 2.17-2.19
In: 0.5899 0.5899 0.5899  6 O 2.17-2.19
In: 0.6699 0.8301 0.1699  6 O 2.14-2.18
In: 0.8301 0.1699 0.6699  6 O 2.14-2.18
In: 0.9101 0.4101 0.0899  6 O 2.17-2.19
P: 0.0129 0.2240 0.3735  4 O 1.54-1.56
P: 0.1265 0.9871 0.7240  4 O 1.54-1.56
P: 0.2240 0.3735 0.0129  4 O 1.54-1.56
P: 0.2760 0.6265 0.5129  4 O 1.54-1.56
P: 0.3735 0.0129 0.2240  4 O 1.54-1.56
P: 0.4871 0.7760 0.8735  4 O 1.54-1.56
P: 0.5129 0.2760 0.6265  4 O 1.54-1.56
P: 0.6265 0.5129 0.2760  4 O 1.54-1.56
P: 0.7240 0.1265 0.9871  4 O 1.54-1.56
P: 0.7760 0.8735 0.4871  4 O 1.54-1.56
P: 0.8735 0.4871 0.7760  4 O 1.54-1.56
P: 0.9871 0.7240 0.1265  4 O 1.54-1.56
O: 0.0204 0.0853 0.3120  1 P 1.56
O: 0.0127 0.0843 0.7229  1 P 1.54
O: 0.0461 0.8194 0.2251  1 P 1.54
O: 0.0785 0.8503 0.7672  1 P 1.56
O: 0.0853 0.3120 0.0204  1 P 1.56
O: 0.0843 0.7229 0.0127  1 P 1.54
O: 0.1497 0.2672 0.4215  1 P 1.56
O: 0.1806 0.7251 0.4539  1 P 1.54
O: 0.2229 0.4873 0.9157  1 P 1.54
O: 0.1880 0.9796 0.5853  1 P 1.56
O: 0.2251 0.0461 0.8194  1 P 1.54
O: 0.2328 0.5785 0.6497  1 P 1.56
O: 0.2672 0.4215 0.1497  1 P 1.56
O: 0.2749 0.9539 0.3194  1 P 1.54
O: 0.3120 0.0204 0.0853  1 P 1.56
O: 0.2771 0.5127 0.4157  1 P 1.54
O: 0.3194 0.2749 0.9539  1 P 1.54
O: 0.3503 0.7328 0.9215  1 P 1.56
O: 0.4157 0.2771 0.5127  1 P 1.54
O: 0.4147 0.6880 0.5204  1 P 1.56
O: 0.4215 0.1497 0.2672  1 P 1.56
O: 0.4539 0.1806 0.7251  1 P 1.54
O: 0.4873 0.9157 0.2229  1 P 1.54
O: 0.4796 0.9147 0.8120  1 P 1.56
O: 0.5204 0.4147 0.6880  1 P 1.56
O: 0.5127 0.4157 0.2771  1 P 1.54
O: 0.5461 0.6806 0.7749  1 P 1.54
O: 0.5785 0.6497 0.2328  1 P 1.56
O: 0.5853 0.1880 0.9796  1 P 1.56
O: 0.5843 0.7771 0.9873  1 P 1.54
O: 0.6497 0.2328 0.5785  1 P 1.56
O: 0.6806 0.7749 0.5461  1 P 1.54
O: 0.7229 0.0127 0.0843  1 P 1.54
O: 0.6880 0.5204 0.4147  1 P 1.56
O: 0.7251 0.4539 0.1806  1 P 1.54
O: 0.7328 0.9215 0.3503  1 P 1.56
O: 0.7672 0.0785 0.8503  1 P 1.56
O: 0.7749 0.5461 0.6806  1 P 1.54
O: 0.8120 0.4796 0.9147  1 P 1.56
O: 0.7771 0.9873 0.5843  1 P 1.54
O: 0.8194 0.2251 0.0461  1 P 1.54
O: 0.8503 0.7672 0.0785  1 P 1.56
O: 0.9157 0.2229 0.4873  1 P 1.54
O: 0.9147 0.8120 0.4796  1 P 1.56
O: 0.9215 0.3503 0.7328  1 P 1.56
O: 0.9539 0.3194 0.2749  1 P 1.54
O: 0.9873 0.5843 0.7771  1 P 1.54
O: 0.9796 0.5853 0.1880  1 P 1.56

---

Density functional theory data (PBE-GGA) for a relaxed MgTaBe crystal.

Calculated values
Raw total energy, eV/atom: -5.57
Formation energy, meV per atom: 159
Space-group type: No. 107

Cell: 5.9530 5.9530 2.8796 Å, 76.01 76.01 27.99°
Last column: nearest neighbours and their distance in Å.
Sites, in units of the cell vectors:
Be: 0.0038 0.0038 0.9962  4 Ta 2.58, 4 Mg 2.66, 4 Be 2.88
Mg: 0.3502 0.3502 0.6498  4 Be 2.66, 4 Mg 2.88
Ta: 0.6460 0.6461 0.3540  4 Be 2.58, 4 Ta 2.88

---

Density functional theory data (PBE-GGA) for a relaxed CrSi4 crystal.

Calculated values
Raw total energy, eV/atom: -5.79
Space-group type: No. 139
Formation energy without anion corrections, eV per atom: 0.474

Cell: 7.1763 7.1763 7.1763 Å, 153.02 153.02 38.53°
Last column: nearest neighbours and their distance in Å.
Sites, in units of the cell vectors:
Cr: 0.0000 0.0000 0.0000  8 Si 2.66
Si: 0.7500 0.2500 0.5000  4 Si 2.37
Si: 0.2500 0.7500 0.5000  4 Si 2.37
Si: 0.5900 0.5900 0.0000  1 Si 2.44, 4 Cr 2.66
Si: 0.4100 0.4100 0.0000  1 Si 2.44, 4 Cr 2.66

---

Density functional theory data (PBE-GGA) for a relaxed ZnSnP2O7 crystal.

Calculated values
Raw total energy, eV/atom: -6.53
Space-group type: No. 2
Formation energy without anion corrections, eV per atom: -1.915

Cell: 6.5387 7.5766 7.1897 Å, 86.04 76.70 72.65°
Last column: nearest neighbours and their distance in Å.
Sites, in units of the cell vectors:
Zn: 0.4458 0.5631 0.7087  4 O 1.95-2.08
Zn: 0.5542 0.4369 0.2913  4 O 1.95-2.08
Sn: 0.2795 0.0949 0.1857  3 O 2.16-2.24
Sn: 0.7205 0.9051 0.8143  3 O 2.16-2.24
P: 0.1683 0.6753 0.1116  4 O 1.52-1.63
P: 0.8317 0.3247 0.8884  4 O 1.52-1.63
P: 0.2757 0.2190 0.6315  4 O 1.52-1.62
P: 0.7243 0.7810 0.3685  4 O 1.52-1.62
O: 0.1874 0.6988 0.8940  1 P 1.54
O: 0.8126 0.3011 0.1060  1 P 1.54
O: 0.2028 0.8335 0.2087  1 P 1.52
O: 0.7972 0.1665 0.7913  1 P 1.52
O: 0.3093 0.4858 0.1644  1 P 1.53
O: 0.6907 0.5142 0.8356  1 P 1.53
O: 0.5914 0.6381 0.4387  1 P 1.57
O: 0.4086 0.3619 0.5613  1 P 1.57
O: 0.1642 0.1832 0.4797  1 P 1.52
O: 0.8358 0.8168 0.5203  1 P 1.52
O: 0.0851 0.3264 0.8067  2 P 1.62-1.63
O: 0.5893 0.9538 0.2838  1 P 1.52
O: 0.4107 0.0462 0.7162  1 P 1.52
O: 0.9149 0.6736 0.1933  2 P 1.62-1.63

---

Density functional theory data (PBE-GGA) for a relaxed GaPb4Au5 crystal.

Calculated values
Raw total energy, eV/atom: -3.49
Formation energy, meV per atom: -70
Space-group type: No. 107

Cell: 5.0037 7.3398 7.3399 Å, 83.33 70.07 70.07°
Last column: nearest neighbours and their distance in Å.
Sites, in units of the cell vectors:
Ga: 0.1607 0.0000 0.0000  6 Au 2.49-2.75
Pb: 0.7543 0.7035 0.7034  7 Au 3.06-3.28, 1 Ga 3.25
Pb: 0.4577 0.2966 0.7035  7 Au 3.06-3.28, 1 Ga 3.25
Pb: 0.4577 0.7034 0.2965  7 Au 3.06-3.28, 1 Ga 3.25
Pb: 0.1612 0.2965 0.2966  7 Au 3.06-3.28, 1 Ga 3.25
Au: 0.1457 0.6288 0.0000  1 Ga 2.75, 3 Au 2.97-3.07, 2 Pb 3.07
Au: 0.1457 0.0000 0.6288  1 Ga 2.75, 3 Au 2.97-3.07, 2 Pb 3.07
Au: 0.7745 0.0000 0.3712  1 Ga 2.75, 3 Au 2.97-3.07, 2 Pb 3.07
Au: 0.7745 0.3712 0.0000  1 Ga 2.75, 3 Au 2.97-3.07, 2 Pb 3.07
Au: 0.6578 0.0000 0.0000  2 Ga 2.49-2.52

---

Density functional theory data (PBE-GGA) for a relaxed Y7C3I6O crystal.

Calculated values
Raw total energy, eV/atom: -6.39
Space-group type: No. 51
Formation energy without anion corrections, eV per atom: -1.266

Cell: 3.8611 11.9590 22.5730 Å, 90.00 90.00 90.00°
Last column: nearest neighbours and their distance in Å.
Sites, in units of the cell vectors:
C: 0.0000 0.5000 0.0000  6 Y 2.49-2.59
C: 0.0000 0.5000 0.5000  6 Y 2.49-2.59
C: 0.5000 0.5770 0.1364  6 Y 2.50-2.65
C: 0.5000 0.5770 0.3636  6 Y 2.50-2.65
C: 0.5000 0.4230 0.8636  6 Y 2.50-2.65
C: 0.5000 0.4230 0.6364  6 Y 2.50-2.65
I: 0.5000 0.7595 0.5943  3 Y 3.11-3.18
I: 0.5000 0.7595 0.9057  3 Y 3.11-3.18
I: 0.5000 0.2405 0.4057  3 Y 3.11-3.18
I: 0.5000 0.2405 0.0943  3 Y 3.11-3.18
I: 0.0000 0.8453 0.4449  3 Y 3.02-3.24
I: 0.0000 0.8453 0.0551  3 Y 3.02-3.24
I: 0.0000 0.1547 0.5551  3 Y 3.02-3.24
I: 0.0000 0.1547 0.9449  3 Y 3.02-3.24
I: 0.5000 0.8609 0.2500  4 Y 3.35, 2 O 3.52
I: 0.5000 0.1391 0.7500  4 Y 3.35, 2 O 3.52
I: 0.0000 0.6798 0.7500  2 Y 3.09
I: 0.0000 0.3202 0.2500  2 Y 3.09
O: 0.0000 0.6151 0.2500  4 Y 2.18-2.23
O: 0.0000 0.3849 0.7500  4 Y 2.18-2.23
Y: 0.0000 0.5573 0.6061  3 C 2.49-2.60
Y: 0.0000 0.5573 0.8939  3 C 2.49-2.60
Y: 0.0000 0.4427 0.3939  3 C 2.49-2.60
Y: 0.0000 0.4427 0.1061  3 C 2.49-2.60
Y: 0.0000 0.6989 0.3360  1 O 2.18
Y: 0.0000 0.6989 0.1640  1 O 2.18
Y: 0.0000 0.3011 0.6640  1 O 2.18
Y: 0.0000 0.3011 0.8360  1 O 2.18
Y: 0.5000 0.5216 0.2500  2 O 2.23
Y: 0.5000 0.4784 0.7500  2 O 2.23
Y: 0.5000 0.6329 0.4707  3 C 2.51-2.59
Y: 0.5000 0.6329 0.0293  3 C 2.51-2.59
Y: 0.5000 0.3671 0.5293  3 C 2.51-2.59
Y: 0.5000 0.3671 0.9707  3 C 2.51-2.59

---

Density functional theory data (PBE-GGA) for a relaxed K2SrLa crystal.

Calculated values
Raw total energy, eV/atom: -1.70
Formation energy, meV per atom: 500
Space-group type: No. 225

Cell: 9.5197 9.5197 9.5197 Å, 90.00 90.00 90.00°
Last column: nearest neighbours and their distance in Å.
Sites, in units of the cell vectors:
Sr: 0.5000 0.0000 0.0000  8 K 4.12
Sr: 0.0000 0.5000 0.0000  8 K 4.12
Sr: 0.0000 0.0000 0.5000  8 K 4.12
Sr: 0.5000 0.5000 0.5000  8 K 4.12
K: 0.7500 0.2500 0.2500  4 La 4.12, 4 Sr 4.12
K: 0.2500 0.7500 0.2500  4 La 4.12, 4 Sr 4.12
K: 0.2500 0.2500 0.7500  4 La 4.12, 4 Sr 4.12
K: 0.7500 0.7500 0.7500  4 La 4.12, 4 Sr 4.12
K: 0.2500 0.2500 0.2500  4 La 4.12, 4 Sr 4.12
K: 0.7500 0.7500 0.2500  4 La 4.12, 4 Sr 4.12
K: 0.7500 0.2500 0.7500  4 La 4.12, 4 Sr 4.12
K: 0.2500 0.7500 0.7500  4 La 4.12, 4 Sr 4.12
La: 0.0000 0.0000 0.0000  8 K 4.12
La: 0.5000 0.5000 0.0000  8 K 4.12
La: 0.5000 0.0000 0.5000  8 K 4.12
La: 0.0000 0.5000 0.5000  8 K 4.12

---

Density functional theory data (PBE-GGA) for a relaxed NiTe2Cl8 crystal.

Calculated values
Raw total energy, eV/atom: -2.87
Space-group type: No. 12
Formation energy without anion corrections, eV per atom: -0.430

Cell: 8.7395 7.4141 7.4141 Å, 54.69 84.55 84.55°
Last column: nearest neighbours and their distance in Å.
Sites, in units of the cell vectors:
Ni: 0.0000 0.0000 0.0000  4 Cl 2.18
Te: 0.2052 0.2687 0.2687  2 Cl 2.35-2.37
Te: 0.7948 0.7313 0.7313  2 Cl 2.35-2.37
Cl: 0.9484 0.1170 0.6662  1 Ni 2.18
Cl: 0.0516 0.3338 0.8830  1 Ni 2.18
Cl: 0.4256 0.1498 0.1498  1 Te 2.35
Cl: 0.5744 0.8502 0.8502  1 Te 2.35
Cl: 0.9484 0.6662 0.1170  1 Ni 2.18
Cl: 0.0516 0.8830 0.3338  1 Ni 2.18
Cl: 0.3488 0.4111 0.4111  1 Te 2.37
Cl: 0.6512 0.5889 0.5889  1 Te 2.37